Version i
The following is a DFT calculation (PBE) of Ho2MnCo after structural relaxation.

Unit cell a=9.718 b=9.718 c=9.718 alpha=20.15 beta=20.15 gamma=20.15
Positions (direct):
Ho (0.105, 0.105, 0.105)
Ho (0.895, 0.895, 0.895)
Mn (0.000, 0.000, 0.000)
Co (0.500, 0.500, 0.500)

Magnetic moment: 3.8 μB/f.u.
N(E_F): 3.4 states/eV/cell

***

Version ii
The following is a DFT calculation (PBE) of Ho2MnCo after structural relaxation.

Unit cell a=3.372 b=3.372 c=6.981 alpha=90.00 beta=90.00 gamma=90.00
Positions (direct):
Ho (0.000, 0.000, 0.234)
Ho (0.000, 0.000, 0.766)
Mn (0.500, 0.500, 0.500)
Co (0.500, 0.500, 0.000)

Magnetic moment: 3.3 μB/f.u.
N(E_F): 4.0 states/eV/cell

***

Stability ranking, top and bottom: version ii is the most stable and version i is the least stable.

***

Version i
The following is a DFT calculation (PBE) of NaHo2Co after structural relaxation.

Unit cell a=3.336 b=3.336 c=9.462 alpha=90.00 beta=90.00 gamma=90.00
Positions (direct):
Na (0.000, 0.000, 0.000)
Ho (0.500, 0.500, 0.331)
Ho (0.500, 0.500, 0.669)
Co (0.000, 0.000, 0.500)

Magnetic moment: 0.5 μB/f.u.
N(E_F): 3.5 states/eV/cell

***

Version ii
The following is a DFT calculation (PBE) of NaHo2Co after structural relaxation.

Unit cell a=10.459 b=10.459 c=10.459 alpha=20.85 beta=20.85 gamma=20.85
Positions (direct):
Na (0.000, 0.000, 0.000)
Ho (0.120, 0.120, 0.120)
Ho (0.880, 0.880, 0.880)
Co (0.500, 0.500, 0.500)

Magnetic moment: 0.0 μB/f.u.
N(E_F): 3.2 states/eV/cell

***

Stability ranking, top and bottom: version i is the most stable and version ii is the least stable.